# 1
TmMgAlAu: relaxed, PBE-GGA.

Unit cell a=4.8662 b=4.8662 c=4.8662 alpha=60.00 beta=60.00 gamma=60.00
Closest atoms and distances in Å follow each position.
Fractional positions:
Mg  0.2500  0.2500  0.2500  4 Al 2.98, 4 Au 2.98
Tm  0.7500  0.7500  0.7500  4 Al 2.98, 4 Au 2.98
Au  0.0000  0.0000  0.0000  4 Mg 2.98, 4 Tm 2.98
Al  0.5000  0.5000  0.5000  4 Mg 2.98, 4 Tm 2.98

formation energy from the elements: -2.0 eV per formula unit
space-group type: F-43m



# 2
NbRe2W6: relaxed, PBE-GGA.

Unit cell a=4.4673 b=5.3683 c=7.4468 alpha=111.13 beta=107.46 gamma=90.00
Closest atoms and distances in Å follow each position.
Fractional positions:
W  0.3029  0.0614  0.6060  5 W 2.59-2.77, 2 Re 2.85-2.86
W  0.5000  0.7407  0.0000  4 W 2.58-2.78, 2 Nb 2.63
W  0.6971  0.9386  0.3940  5 W 2.59-2.77, 2 Re 2.85-2.86
W  0.6971  0.4554  0.3940  5 W 2.59-2.77, 2 Re 2.85-2.86
W  0.3029  0.5446  0.6060  5 W 2.59-2.77, 2 Re 2.85-2.86
W  0.5000  0.2593  0.0000  4 W 2.58-2.78, 2 Nb 2.63
Re  0.1040  0.6045  0.2090  1 Re 2.75, 10 W 2.85-2.96, 2 Nb 3.02
Re  0.8960  0.3955  0.7910  1 Re 2.75, 10 W 2.85-2.96, 2 Nb 3.02
Nb  0.0000  0.0000  0.0000  4 W 2.63

formation energy from the elements: 6.5 eV per formula unit
space-group type: Immm



# 3
TmTl2SnS4: relaxed, PBE-GGA.

Unit cell a=3.9347 b=7.8312 c=6.9930 alpha=73.28 beta=90.00 gamma=90.00
Closest atoms and distances in Å follow each position.
Fractional positions:
Tl  0.0000  0.0000  0.0000  6 S 3.24-3.25
Tl  0.5000  0.0000  0.5000  6 S 3.21-3.24
Tm  0.0000  0.5000  0.5000  6 S 2.71-2.74
S  0.0000  0.6994  0.7634  1 Tm 2.74, 2 Sn 2.75
S  0.0000  0.3006  0.2366  1 Tm 2.74, 2 Sn 2.75
S  0.5000  0.6950  0.2703  2 Tm 2.71, 1 Sn 2.75
S  0.5000  0.3050  0.7297  2 Tm 2.71, 1 Sn 2.75
Sn  0.5000  0.5000  0.0000  6 S 2.75

E_form (uncorrected): -7.3 eV/f.u.
space-group type: P2/m



# 4
K2Ti2AlS6: relaxed, PBE-GGA.

Unit cell a=6.1714 b=6.1714 c=7.7985 alpha=97.80 beta=97.80 gamma=120.13
Closest atoms and distances in Å follow each position.
Fractional positions:
S  0.2668  0.2668  0.3208  1 Al 2.43, 2 Ti 2.48
S  0.7332  0.7332  0.6792  1 Al 2.43, 2 Ti 2.48
S  0.3909  0.0640  0.6816  1 Al 2.44, 2 Ti 2.47
S  0.0640  0.3909  0.6816  1 Al 2.44, 2 Ti 2.47
S  0.6091  0.9360  0.3184  1 Al 2.44, 2 Ti 2.47
S  0.9360  0.6091  0.3184  1 Al 2.44, 2 Ti 2.47
Ti  0.6684  0.3316  0.5000  6 S 2.47-2.48
Ti  0.3316  0.6684  0.5000  6 S 2.47-2.48
K  0.1678  0.8322  0.0000  6 S 3.15-3.17
K  0.8322  0.1678  0.0000  6 S 3.15-3.17
Al  0.0000  0.0000  0.5000  6 S 2.43-2.44

E_form (uncorrected): -14.3 eV/f.u.
space-group type: C2/m



# 5
Fe3ReNi: relaxed, PBE-GGA.

Unit cell a=4.2071 b=4.2071 c=4.2071 alpha=90.00 beta=90.00 gamma=90.00
Closest atoms and distances in Å follow each position.
Fractional positions:
Ni  0.0000  0.0000  0.0000  6 Fe 2.10
Fe  0.5000  0.0000  0.0000  2 Ni 2.10
Fe  0.0000  0.0000  0.5000  2 Ni 2.10
Fe  0.0000  0.5000  0.0000  2 Ni 2.10
Re  0.5000  0.5000  0.5000  12 Fe 2.97

energy above the most stable polymorph in this dataset: 0.00 eV/f.u.
formation energy from the elements: 6.6 eV per formula unit
space-group type: Pm-3m



# 6
SrZn2PPt: relaxed, PBE-GGA.

Unit cell a=4.8096 b=4.9390 c=4.8096 alpha=90.00 beta=90.00 gamma=90.00
Closest atoms and distances in Å follow each position.
Fractional positions:
Zn  0.0000  0.0000  0.5000  2 Pt 2.40
Zn  0.5000  0.0000  0.0000  2 Pt 2.40
P  0.0000  0.5000  0.0000  2 Pt 2.47
Pt  0.0000  0.0000  0.0000  4 Zn 2.40, 2 P 2.47
Sr  0.5000  0.5000  0.5000  4 P 3.40, 8 Zn 3.45

formation energy from the elements: -1.6 eV per formula unit
space-group type: P4/mmm



Repeat the second record exactly.
NbRe2W6: relaxed, PBE-GGA.

Unit cell a=4.4673 b=5.3683 c=7.4468 alpha=111.13 beta=107.46 gamma=90.00
Closest atoms and distances in Å follow each position.
Fractional positions:
W  0.3029  0.0614  0.6060  5 W 2.59-2.77, 2 Re 2.85-2.86
W  0.5000  0.7407  0.0000  4 W 2.58-2.78, 2 Nb 2.63
W  0.6971  0.9386  0.3940  5 W 2.59-2.77, 2 Re 2.85-2.86
W  0.6971  0.4554  0.3940  5 W 2.59-2.77, 2 Re 2.85-2.86
W  0.3029  0.5446  0.6060  5 W 2.59-2.77, 2 Re 2.85-2.86
W  0.5000  0.2593  0.0000  4 W 2.58-2.78, 2 Nb 2.63
Re  0.1040  0.6045  0.2090  1 Re 2.75, 10 W 2.85-2.96, 2 Nb 3.02
Re  0.8960  0.3955  0.7910  1 Re 2.75, 10 W 2.85-2.96, 2 Nb 3.02
Nb  0.0000  0.0000  0.0000  4 W 2.63

formation energy from the elements: 6.5 eV per formula unit
space-group type: Immm